A geometry-optimized BaNi2Mo structure, computed with GGA-PBE.

abc: 5.5163 5.5163 5.5163
angles: 137.93 137.93 61.01
Closest atoms and distances in Å follow each position.
Element x y z (fractional)
1 Ba 0.0000 0.0000 0.0000  8 Ni 2.80-3.09, 4 Mo 3.09
2 Ni 0.5000 0.5000 0.0000  4 Ba 2.80, 4 Ni 3.09, 4 Mo 3.09
3 Ni 0.7500 0.2500 0.5000  4 Mo 2.80, 4 Ni 3.09, 4 Ba 3.09
4 Mo 0.2500 0.7500 0.5000  8 Ni 2.80-3.09, 4 Ba 3.09

Output
density of states at the Fermi level: 1.276 states/eV/atom
magnetization: 0.62 μB/atom
space group: I-4m2
relative energy among the computed polymorphs: 840 meV/atom



A geometry-optimized Ca2ThPt9 structure, computed with GGA-PBE.

abc: 9.4576 9.4576 9.4576
angles: 33.28 33.28 33.28
Closest atoms and distances in Å follow each position.
Element x y z (fractional)
1 Ca 0.1428 0.1428 0.1428  12 Pt 3.13-3.24, 3 Ca 3.38
2 Ca 0.8572 0.8572 0.8572  12 Pt 3.13-3.24, 3 Ca 3.38
3 Th 0.0000 0.0000 0.0000  6 Pt 3.13
4 Pt 0.0820 0.5857 0.5857  7 Pt 2.69-2.76
5 Pt 0.3330 0.3330 0.3330  6 Pt 2.74-2.76
6 Pt 0.4143 0.4143 0.9180  7 Pt 2.69-2.76
7 Pt 0.4143 0.9180 0.4143  7 Pt 2.69-2.76
8 Pt 0.5000 0.5000 0.5000  6 Pt 2.71
9 Pt 0.5857 0.0820 0.5857  7 Pt 2.69-2.76
10 Pt 0.5857 0.5857 0.0820  7 Pt 2.69-2.76
11 Pt 0.6670 0.6670 0.6670  6 Pt 2.74-2.76
12 Pt 0.9180 0.4143 0.4143  7 Pt 2.69-2.76

Output
density of states at the Fermi level: 0.792 states/eV/atom
magnetization: 0.00 μB/atom
space group: R-3m
E_tot: -6.35 eV per atom